This record from the Alexandria database describes a geometry-optimized KIr2N2 structure. The functional is PBE-GGA.

abc: 7.4750 7.4750 2.7360
angles: 90.00 90.00 90.00
With the nearest neighbours (Å) after each atom.
Fractional coordinates of all 10 atoms:
Ir (0.6199, 0.8801, 0.5000)  4 N 2.21
Ir (0.8801, 0.3801, 0.5000)  4 N 2.21
Ir (0.1199, 0.6199, 0.5000)  4 N 2.21
Ir (0.3801, 0.1199, 0.5000)  4 N 2.21
K (0.0000, 0.0000, 0.0000)  2 K 2.74, 4 N 3.01
K (0.5000, 0.5000, 0.0000)  2 K 2.74, 4 N 3.01
N (0.6129, 0.1129, 0.0000)  4 Ir 2.21, 1 N 2.39
N (0.1129, 0.3871, 0.0000)  4 Ir 2.21, 1 N 2.39
N (0.3871, 0.8871, 0.0000)  4 Ir 2.21, 1 N 2.39
N (0.8871, 0.6129, 0.0000)  4 Ir 2.21, 1 N 2.39

Results
As for the space-group type: P4/mbm, No. 127. As for the total moment: 0.00 Bohr magnetons per cell. The energy relative to the elements, uncorrected comes out at 712 kJ/mol of formula units. The value obtained for the relative energy among the computed polymorphs is 869 meV per atom.

---

This record from the Alexandria database describes a geometry-optimized KIr3N structure. The functional is PBE-GGA.

abc: 4.2324 4.2324 4.2324
angles: 90.00 90.00 90.00
With the nearest neighbours (Å) after each atom.
Fractional coordinates of all 5 atoms:
N (0.0000, 0.0000, 0.0000)  6 Ir 2.12
Ir (0.0000, 0.0000, 0.5000)  2 N 2.12
Ir (0.0000, 0.5000, 0.0000)  2 N 2.12
Ir (0.5000, 0.0000, 0.0000)  2 N 2.12
K (0.5000, 0.5000, 0.5000)  12 Ir 2.99

Results
As for the space-group type: Pm-3m, No. 221. As for the total moment: 0.00 Bohr magnetons per cell. The energy relative to the elements, uncorrected comes out at 484 kJ/mol of formula units. The value obtained for the relative energy among the computed polymorphs is 0 meV per atom.

---

This record from the Alexandria database describes a geometry-optimized K3IrN2 structure. The functional is PBE-GGA.

abc: 6.5432 9.7989 10.0377
angles: 90.00 109.87 90.00
With the nearest neighbours (Å) after each atom.
Fractional coordinates of all 24 atoms:
Ir (0.0394, 0.6684, 0.8322)  2 N 1.79
Ir (0.4606, 0.1684, 0.6678)  2 N 1.79
Ir (0.9606, 0.3316, 0.1678)  2 N 1.79
Ir (0.5394, 0.8316, 0.3322)  2 N 1.79
N (0.1174, 0.2064, 0.1143)  1 Ir 1.79
N (0.3826, 0.7064, 0.3857)  1 Ir 1.79
N (0.3080, 0.0748, 0.7559)  1 Ir 1.79
N (0.6174, 0.2936, 0.6143)  1 Ir 1.79
N (0.8080, 0.4252, 0.2559)  1 Ir 1.79
N (0.8826, 0.7936, 0.8857)  1 Ir 1.79
N (0.6920, 0.9252, 0.2441)  1 Ir 1.79
N (0.1920, 0.5748, 0.7441)  1 Ir 1.79
K (0.7652, 0.5467, 0.5124)  4 N 2.86-2.98
K (0.2348, 0.4533, 0.4876)  4 N 2.86-2.98
K (0.6228, 0.4663, 0.8583)  2 N 2.86-2.97
K (0.8772, 0.9663, 0.6417)  2 N 2.86-2.97
K (0.3772, 0.5337, 0.1417)  2 N 2.86-2.97
K (0.9323, 0.7011, 0.1818)  4 N 2.89-3.02
K (0.4323, 0.7989, 0.6818)  4 N 2.89-3.02
K (0.0677, 0.2989, 0.8182)  4 N 2.89-3.02
K (0.1228, 0.0337, 0.3583)  2 N 2.86-2.97
K (0.7348, 0.0467, 0.9876)  4 N 2.86-2.98
K (0.5677, 0.2011, 0.3182)  4 N 2.89-3.02
K (0.2652, 0.9533, 0.0124)  4 N 2.86-2.98

Results
As for the space-group type: P2_1/c, No. 14. As for the total moment: 0.00 Bohr magnetons per cell. The energy relative to the elements, uncorrected comes out at -34 kJ/mol of formula units.

---

This record from the Alexandria database describes a geometry-optimized KIr3N structure. The functional is PBE-GGA.

abc: 4.8975 4.8975 4.8975
angles: 90.00 90.00 90.00
With the nearest neighbours (Å) after each atom.
Fractional coordinates of all 5 atoms:
N (0.5000, 0.5000, 0.5000)  12 Ir 3.46
K (0.0000, 0.0000, 0.0000)  6 Ir 2.45
Ir (0.5000, 0.0000, 0.0000)  2 K 2.45
Ir (0.0000, 0.0000, 0.5000)  2 K 2.45
Ir (0.0000, 0.5000, 0.0000)  2 K 2.45

Results
As for the space-group type: Pm-3m, No. 221. As for the total moment: 6.79 Bohr magnetons per cell. The energy relative to the elements, uncorrected comes out at 2089 kJ/mol of formula units. The value obtained for the relative energy among the computed polymorphs is 3326 meV per atom.

---

This record from the Alexandria database describes a geometry-optimized KNa2IrN2 structure. The functional is PBE-GGA.

abc: 4.4021 5.6500 9.9400
angles: 90.00 90.00 90.00
With the nearest neighbours (Å) after each atom.
Fractional coordinates of all 12 atoms:
Ir (0.0000, 0.0000, 0.0000)  2 N 1.79
Ir (0.5000, 0.5000, 0.5000)  2 N 1.79
N (0.0000, 0.2138, 0.1335)  1 Ir 1.79
N (0.5000, 0.2862, 0.6335)  1 Ir 1.79
N (0.5000, 0.7138, 0.3665)  1 Ir 1.79
N (0.0000, 0.7862, 0.8665)  1 Ir 1.79
Na (0.5000, 0.9547, 0.7853)  3 N 2.41-2.53
Na (0.0000, 0.4547, 0.7147)  3 N 2.41-2.53
Na (0.5000, 0.0453, 0.2147)  3 N 2.41-2.53
Na (0.0000, 0.5453, 0.2853)  3 N 2.41-2.53
K (0.5000, 0.5000, 0.0000)  4 N 3.04, 2 Na 3.34
K (0.0000, 0.0000, 0.5000)  4 N 3.04, 2 Na 3.34

Results
As for the space-group type: Pnnm, No. 58. As for the total moment: 0.00 Bohr magnetons per cell. The energy relative to the elements, uncorrected comes out at -35 kJ/mol of formula units.

---

This record from the Alexandria database describes a geometry-optimized KNb2IrN structure. The functional is PBE-GGA.

abc: 4.2214 4.8816 4.2214
angles: 90.00 90.00 90.00
With the nearest neighbours (Å) after each atom.
Fractional coordinates of all 5 atoms:
Nb (0.5000, 0.0000, 0.0000)  2 N 2.11
Nb (0.0000, 0.0000, 0.5000)  2 N 2.11
K (0.0000, 0.5000, 0.0000)  2 N 2.44
N (0.0000, 0.0000, 0.0000)  4 Nb 2.11
Ir (0.5000, 0.5000, 0.5000)  4 K 2.98, 8 Nb 3.23

Results
As for the space-group type: P4/mmm, No. 123. As for the total moment: 0.43 Bohr magnetons per cell. The energy relative to the elements, uncorrected comes out at 213 kJ/mol of formula units.

---

This record from the Alexandria database describes a geometry-optimized KIrSN2 structure. The functional is PBE-GGA.

abc: 3.9080 3.9080 5.2161
angles: 90.00 90.00 90.00
With the nearest neighbours (Å) after each atom.
Fractional coordinates of all 5 atoms:
S (0.0000, 0.0000, 0.5000)  2 Ir 2.61, 4 K 2.76
Ir (0.0000, 0.0000, 0.0000)  4 N 1.95
K (0.5000, 0.5000, 0.5000)  4 S 2.76
N (0.5000, 0.0000, 0.0000)  2 Ir 1.95
N (0.0000, 0.5000, 0.0000)  2 Ir 1.95

Results
As for the space-group type: P4/mmm, No. 123. As for the total moment: 0.53 Bohr magnetons per cell. The energy relative to the elements, uncorrected comes out at 284 kJ/mol of formula units. The value obtained for the relative energy among the computed polymorphs is 0 meV per atom.

---

This record from the Alexandria database describes a geometry-optimized KIrSN2 structure. The functional is PBE-GGA.

abc: 4.1437 4.1437 5.9349
angles: 90.00 90.00 90.00
With the nearest neighbours (Å) after each atom.
Fractional coordinates of all 5 atoms:
K (0.0000, 0.0000, 0.0000)  4 N 2.07
N (0.0000, 0.5000, 0.0000)  2 K 2.07
N (0.5000, 0.0000, 0.0000)  2 K 2.07
S (0.0000, 0.0000, 0.5000)  4 Ir 2.93, 2 K 2.97
Ir (0.5000, 0.5000, 0.5000)  4 S 2.93

Results
As for the space-group type: P4/mmm, No. 123. As for the total moment: 5.57 Bohr magnetons per cell. The energy relative to the elements, uncorrected comes out at 1542 kJ/mol of formula units. The value obtained for the relative energy among the computed polymorphs is 2607 meV per atom.

---

Number 1: energy -56.2 eV per cell. Number 2: energy -31.0 eV per cell. Number 3: energy -116.6 eV per cell. Number 4: energy -14.4 eV per cell. Number 5: energy -59.2 eV per cell. Number 6: energy -36.2 eV per cell. Number 7: energy -27.8 eV per cell. Number 8: energy -14.8 eV per cell.